Entry from Alexandria via LeMat-Bulk: a relaxed Ba2CdIn3 crystal (PBE).

abc: 6.8038 6.8038 10.0341
angles: 106.26 106.26 100.02
Last column: nearest neighbours and their distance in Å.
Fractional positions:
1 Ba 0.2500 0.7500 0.5000  4 Cd 3.71, 8 In 3.72
2 Ba 0.7409 0.7409 0.0000  2 Cd 3.69, 10 In 3.70-3.76
3 Ba 0.7500 0.2500 0.5000  4 Cd 3.71, 8 In 3.72
4 Ba 0.2591 0.2591 0.0000  2 Cd 3.69, 10 In 3.70-3.76
5 Cd 0.6677 0.6677 0.3355  3 In 3.00-3.04
6 Cd 0.3323 0.3323 0.6645  3 In 3.00-3.04
7 In 0.3310 0.8364 0.1673  2 In 2.98-3.02, 1 Cd 3.04
8 In 0.1636 0.6690 0.8327  2 In 2.98-3.02, 1 Cd 3.04
9 In 0.6690 0.1636 0.8327  2 In 2.98-3.02, 1 Cd 3.04
10 In 0.8364 0.3310 0.1673  2 In 2.98-3.02, 1 Cd 3.04
11 In 0.1662 0.1662 0.3324  2 In 2.98, 1 Cd 3.00
12 In 0.8338 0.8338 0.6676  2 In 2.98, 1 Cd 3.00

## Properties
Its energy of formation from the pure elements is -2.45 eV per formula unit. As for the raw total energy: -2.572 eV/atom. As for the offset from the most stable computed form: 0.046 eV/atom. The density of states at the Fermi level is 3.32 states/eV/f.u.


Entry from Alexandria via LeMat-Bulk: a relaxed Ba12CdIn6 crystal (PBE).

abc: 10.2881 10.2881 10.2881
angles: 100.34 100.34 100.34
Last column: nearest neighbours and their distance in Å.
Fractional positions:
1 Ba 0.8246 0.5692 0.4233  4 In 3.52-3.71
2 Ba 0.4233 0.8246 0.5692  4 In 3.52-3.71
3 Ba 0.5692 0.4233 0.8246  4 In 3.52-3.71
4 Ba 0.1754 0.4308 0.5767  4 In 3.52-3.71
5 Ba 0.5767 0.1754 0.4308  4 In 3.52-3.71
6 Ba 0.4308 0.5767 0.1754  4 In 3.52-3.71
7 Ba 0.0603 0.9371 0.3251  1 Cd 3.49, 3 In 3.52-3.82
8 Ba 0.0629 0.6749 0.9397  1 Cd 3.49, 3 In 3.52-3.82
9 Ba 0.6749 0.9397 0.0629  1 Cd 3.49, 3 In 3.52-3.82
10 Ba 0.9397 0.0629 0.6749  1 Cd 3.49, 3 In 3.52-3.82
11 Ba 0.9371 0.3251 0.0603  1 Cd 3.49, 3 In 3.52-3.82
12 Ba 0.3251 0.0603 0.9371  1 Cd 3.49, 3 In 3.52-3.82
13 Cd 0.0000 0.0000 0.0000  6 Ba 3.49
14 In 0.7023 0.8623 0.3873  7 Ba 3.52-3.82
15 In 0.6127 0.2977 0.1377  7 Ba 3.52-3.82
16 In 0.1377 0.6127 0.2977  7 Ba 3.52-3.82
17 In 0.2977 0.1377 0.6127  7 Ba 3.52-3.82
18 In 0.3873 0.7023 0.8623  7 Ba 3.52-3.82
19 In 0.8623 0.3873 0.7023  7 Ba 3.52-3.82

## Properties
Its energy of formation from the pure elements is -2.45 eV per formula unit. As for the raw total energy: -2.256 eV/atom. The density of states at the Fermi level is 32.69 states/eV/f.u.


Entry from Alexandria via LeMat-Bulk: a relaxed BaCdIn crystal (PBE).

abc: 4.9847 4.9847 8.4027
angles: 90.00 90.00 90.00
Last column: nearest neighbours and their distance in Å.
Fractional positions:
1 Cd 0.0000 0.5000 0.2798  4 In 3.10
2 Cd 0.5000 0.0000 0.7202  4 In 3.10
3 Ba 0.0000 0.5000 0.8237  5 Cd 3.63-3.83, 4 In 3.69
4 Ba 0.5000 0.0000 0.1763  5 Cd 3.63-3.83, 4 In 3.69
5 In 0.0000 0.0000 0.5000  4 Cd 3.10
6 In 0.5000 0.5000 0.5000  4 Cd 3.10

## Properties
Its energy of formation from the pure elements is -1.04 eV per formula unit. As for the raw total energy: -2.205 eV/atom. The density of states at the Fermi level is 1.69 states/eV/f.u.


Entry from Alexandria via LeMat-Bulk: a relaxed Ba4CdIn3 crystal (PBE).

abc: 6.0109 8.6413 12.0229
angles: 90.00 90.00 90.00
Last column: nearest neighbours and their distance in Å.
Fractional positions:
1 In 0.0000 0.0000 0.0000  8 Ba 3.71
2 In 0.0000 0.0000 0.5000  8 Ba 3.71
3 In 0.4994 0.0000 0.7500  8 Ba 3.70-3.71
4 In 0.5006 0.0000 0.2500  8 Ba 3.70-3.71
5 In 0.4999 0.5000 0.7500  8 Ba 3.70
6 In 0.5001 0.5000 0.2500  8 Ba 3.70
7 Ba 0.5000 0.7492 0.0000  2 Cd 3.70, 6 In 3.70-3.71
8 Ba 0.5000 0.7492 0.5000  2 Cd 3.70, 6 In 3.70-3.71
9 Ba 0.5000 0.2508 0.0000  2 Cd 3.70, 6 In 3.70-3.71
10 Ba 0.5000 0.2508 0.5000  2 Cd 3.70, 6 In 3.70-3.71
11 Ba 0.9996 0.7493 0.7500  6 In 3.70-3.71, 2 Cd 3.70
12 Ba 0.0004 0.7493 0.2500  6 In 3.70-3.71, 2 Cd 3.70
13 Ba 0.0004 0.2507 0.2500  6 In 3.70-3.71, 2 Cd 3.70
14 Ba 0.9996 0.2507 0.7500  6 In 3.70-3.71, 2 Cd 3.70
15 Cd 0.0000 0.5000 0.0000  8 Ba 3.70
16 Cd 0.0000 0.5000 0.5000  8 Ba 3.70

## Properties
Its energy of formation from the pure elements is -3.06 eV per formula unit. As for the raw total energy: -2.485 eV/atom. The density of states at the Fermi level is 5.12 states/eV/f.u.


Entry from Alexandria via LeMat-Bulk: a relaxed BaCdIn2 crystal (PBE).

abc: 3.7241 6.0213 6.0213
angles: 101.41 90.00 90.00
Last column: nearest neighbours and their distance in Å.
Fractional positions:
1 Ba 0.0000 0.9946 0.0054  8 In 3.54-3.66, 2 Ba 3.72
2 Cd 0.5000 0.3975 0.6025  4 In 3.03-3.12
3 In 0.5000 0.8835 0.4956  1 In 2.89, 2 Cd 3.03-3.12
4 In 0.5000 0.5044 0.1165  1 In 2.89, 2 Cd 3.03-3.12

## Properties
Its energy of formation from the pure elements is -0.64 eV per formula unit. As for the raw total energy: -2.240 eV/atom. The density of states at the Fermi level is 1.67 states/eV/f.u.


Entry from Alexandria via LeMat-Bulk: a relaxed BaCdIn3 crystal (PBE).

abc: 4.9452 4.9470 7.1214
angles: 69.65 69.65 89.84
Last column: nearest neighbours and their distance in Å.
Fractional positions:
1 Ba 0.4022 0.2057 0.9006  12 In 3.76-4.00, 4 Cd 3.77-3.78
2 Cd 0.0174 0.8207 0.6710  5 In 2.83-2.97
3 In 0.6493 0.9532 0.4064  2 Cd 2.97, 2 In 3.02
4 In 0.1495 0.4528 0.4065  2 Cd 2.97, 2 In 3.02
5 In 0.7893 0.5928 0.1267  1 Cd 2.83, 4 In 3.02

## Properties
Its energy of formation from the pure elements is -1.80 eV per formula unit. As for the raw total energy: -2.570 eV/atom. The density of states at the Fermi level is 1.88 states/eV/f.u.